DFT (PBE) results for a relaxed Mo2OsW crystal.

Lattice parameters (Å, degrees): 5.4164 8.8927 2.7454 90.00 109.40 90.00
Closest atoms and distances in Å follow each position.
Space group C2/m (No. 12)
Inequivalent atoms, fractional coordinates:
Mo1 0.2500 0.2500 0.0000  4 Mo 2.71-2.75, 2 Os 2.73, 2 W 2.73
Os1 0.0000 0.0000 0.5000  2 W 2.71, 4 Mo 2.73, 2 Os 2.75
W1 0.0000 0.5000 0.5000  2 Os 2.71, 4 Mo 2.73, 2 W 2.75

VASP energy	-45.3	eV per formula unit
Fermi-level density of states	7.34	states/eV per cell
total magnetization	0.00	μB per cell


DFT (PBE) results for a relaxed Mo2OsW crystal.

Lattice parameters (Å, degrees): 2.7657 2.7657 28.4940 90.00 90.00 120.00
Closest atoms and distances in Å follow each position.
Space group R-3m (No. 166, hexagonal axes)
Inequivalent atoms, fractional coordinates:
Mo1 0.0000 0.0000 0.2463  6 Mo 2.77, 3 Os 2.78, 3 W 2.95
Os1 0.0000 0.0000 0.5000  6 Os 2.77, 6 Mo 2.78
W1 0.0000 0.0000 0.0000  6 W 2.77, 6 Mo 2.95

VASP energy	-44.8	eV per formula unit
Fermi-level density of states	12.17	states/eV per cell
total magnetization	0.00	μB per cell


DFT (PBE) results for a relaxed Mo2OsW crystal.

Lattice parameters (Å, degrees): 2.7492 4.4319 5.2180 90.00 101.22 90.00
Closest atoms and distances in Å follow each position.
Space group P2/m (No. 10)
Inequivalent atoms, fractional coordinates:
Mo1 0.2217 0.0000 0.2503  4 Mo 2.66-2.75, 2 W 2.70, 2 Os 2.76
Os1 0.5000 0.5000 0.0000  2 W 2.70, 2 Os 2.75, 4 Mo 2.76
W1 0.0000 0.5000 0.5000  4 Mo 2.70, 2 Os 2.70, 2 W 2.75

VASP energy	-45.3	eV per formula unit
Fermi-level density of states	3.71	states/eV per cell
total magnetization	0.00	μB per cell


DFT (PBE) results for a relaxed Mo6OsW3 crystal.

Lattice parameters (Å, degrees): 9.0174 9.6765 7.7060 90.00 90.00 90.00
Closest atoms and distances in Å follow each position.
Space group Cmc2_1 (No. 36)
Inequivalent atoms, fractional coordinates:
Mo1 0.0000 0.0862 0.0000  3 Mo 2.69-2.97, 3 W 2.74-2.87, 1 Os 2.96
Mo2 0.0000 0.2210 0.4942  4 Mo 2.51-2.61, 2 W 2.54, 1 Os 2.80
Mo3 0.1657 0.4422 0.5039  3 Mo 2.60-2.89, 3 W 2.68-2.88, 1 Os 2.77
Mo4 0.1798 0.1295 0.2738  3 Mo 2.51-2.69, 2 W 2.61
Os1 0.0000 0.3591 0.1743  1 W 2.57, 5 Mo 2.77-2.85
W1 0.0000 0.3541 0.8413  1 Os 2.57, 3 Mo 2.77-2.87, 2 W 2.82
W2 0.1814 0.1368 0.7224  5 Mo 2.54-2.74, 1 W 2.82

VASP energy	-109.1	eV per formula unit
Fermi-level density of states	38.58	states/eV per cell
total magnetization	0.00	μB per cell


DFT (PBE) results for a relaxed MoOsW crystal.

Lattice parameters (Å, degrees): 6.2395 8.4497 8.5064 90.00 90.00 90.00
Closest atoms and distances in Å follow each position.
Space group Fmmm (No. 69)
Inequivalent atoms, fractional coordinates:
Mo1 0.0000 0.0000 0.2230  4 Os 2.61-2.70, 2 W 2.68
Os1 0.2122 0.0000 0.5000  4 W 2.60-2.69, 4 Mo 2.61-2.70, 1 Os 2.65
W1 0.0000 0.2232 0.0000  4 Os 2.60-2.69, 2 Mo 2.68

VASP energy	-32.3	eV per formula unit
Fermi-level density of states	19.80	states/eV per cell
total magnetization	0.00	μB per cell


DFT (PBE) results for a relaxed Mo2OsW crystal.

Lattice parameters (Å, degrees): 3.9487 3.9487 4.0134 90.00 90.00 90.00
Closest atoms and distances in Å follow each position.
Space group P4/mmm (No. 123)
Inequivalent atoms, fractional coordinates:
Mo1 0.0000 0.5000 0.0000  4 Mo 2.79, 4 W 2.82, 4 Os 2.82
Os1 0.0000 0.0000 0.5000  4 W 2.79, 8 Mo 2.82
W1 0.5000 0.5000 0.5000  4 Os 2.79, 8 Mo 2.82

VASP energy	-45.0	eV per formula unit
Fermi-level density of states	5.37	states/eV per cell
total magnetization	0.00	μB per cell


DFT (PBE) results for a relaxed MoOs3W crystal.

Lattice parameters (Å, degrees): 4.6534 4.6534 4.6534 90.00 90.00 90.00
Closest atoms and distances in Å follow each position.
Space group Pm-3m (No. 221)
Inequivalent atoms, fractional coordinates:
Mo1 0.0000 0.0000 0.0000  12 Os 3.29
Os1 0.0000 0.5000 0.5000  2 W 2.33
W1 0.5000 0.5000 0.5000  6 Os 2.33

VASP energy	-45.2	eV per formula unit
Fermi-level density of states	9.84	states/eV per cell
total magnetization	0.00	μB per cell


DFT (PBE) results for a relaxed Mo2OsW crystal.

Lattice parameters (Å, degrees): 3.1435 4.4869 8.8638 90.00 90.00 90.00
Closest atoms and distances in Å follow each position.
Space group Cmm2 (No. 35)
Inequivalent atoms, fractional coordinates:
Mo1 0.0000 0.0000 0.0000  2 Os 2.70, 6 Mo 2.73-2.74
Mo2 0.0000 0.5000 0.2517  6 Mo 2.73-2.74, 2 W 2.74
Os1 0.0000 0.5000 0.7520  2 W 2.70, 2 Mo 2.70, 4 Os 2.74
W1 0.0000 0.0000 0.5050  2 Os 2.70, 4 W 2.74, 2 Mo 2.74

VASP energy	-45.1	eV per formula unit
Fermi-level density of states	8.97	states/eV per cell
total magnetization	0.00	μB per cell